# 1
This record from the Alexandria database describes Pm12YEr6 after structural relaxation. The functional is PBE-GGA.

Output
energy relative to the elements = 138 meV/atom
final energy = -4.64 eV/atom
crystal system = trigonal
offset from the most stable computed form = 0.0 kJ per mole of atoms
DOS at the Fermi energy = 33.0 states/eV/f.u.

Cell lengths 8.6330, 8.6330, 8.6330 Å; angles 88.87, 88.87, 88.87 degrees
Fractional positions:
Pm (0.4328, 0.7801, 0.5377)
Pm (0.7801, 0.5377, 0.4328)
Pm (0.5672, 0.2199, 0.4623)
Pm (0.9837, 0.8043, 0.6374)
Pm (0.2199, 0.4623, 0.5672)
Pm (0.4623, 0.5672, 0.2199)
Pm (0.0163, 0.1957, 0.3626)
Pm (0.5377, 0.4328, 0.7801)
Pm (0.1957, 0.3626, 0.0163)
Pm (0.8043, 0.6374, 0.9837)
Pm (0.6374, 0.9837, 0.8043)
Pm (0.3626, 0.0163, 0.1957)
Er (0.7012, 0.2595, 0.0989)
Er (0.9011, 0.2988, 0.7405)
Er (0.2595, 0.0989, 0.7012)
Er (0.7405, 0.9011, 0.2988)
Er (0.2988, 0.7405, 0.9011)
Er (0.0989, 0.7012, 0.2595)
Y (0.0000, 0.0000, 0.0000)



# 2
This record from the Alexandria database describes Pm3Y3Er5 after structural relaxation. The functional is PBE-GGA.

Output
energy relative to the elements = 785 meV/atom
final energy = -4.35 eV/atom
crystal system = hexagonal
DOS at the Fermi energy = 16.8 states/eV/f.u.

Cell lengths 5.6340, 9.6409, 9.6409 Å; angles 120.00, 90.00, 90.00 degrees
Fractional positions:
Y (0.5000, 0.0000, 0.2699)
Y (0.5000, 0.7301, 0.7301)
Y (0.5000, 0.2699, 0.0000)
Pm (0.0000, 0.4699, 0.0000)
Pm (0.0000, 0.5301, 0.5301)
Pm (0.0000, 0.0000, 0.4699)
Er (0.5000, 0.6263, 0.0000)
Er (0.5000, 0.3333, 0.6667)
Er (0.5000, 0.0000, 0.6263)
Er (0.5000, 0.3737, 0.3737)
Er (0.5000, 0.6667, 0.3333)



What did the first record say?
This record from the Alexandria database describes Pm12YEr6 after structural relaxation. The functional is PBE-GGA.

Output
energy relative to the elements = 138 meV/atom
final energy = -4.64 eV/atom
crystal system = trigonal
offset from the most stable computed form = 0.0 kJ per mole of atoms
DOS at the Fermi energy = 33.0 states/eV/f.u.

Cell lengths 8.6330, 8.6330, 8.6330 Å; angles 88.87, 88.87, 88.87 degrees
Fractional positions:
Pm (0.4328, 0.7801, 0.5377)
Pm (0.7801, 0.5377, 0.4328)
Pm (0.5672, 0.2199, 0.4623)
Pm (0.9837, 0.8043, 0.6374)
Pm (0.2199, 0.4623, 0.5672)
Pm (0.4623, 0.5672, 0.2199)
Pm (0.0163, 0.1957, 0.3626)
Pm (0.5377, 0.4328, 0.7801)
Pm (0.1957, 0.3626, 0.0163)
Pm (0.8043, 0.6374, 0.9837)
Pm (0.6374, 0.9837, 0.8043)
Pm (0.3626, 0.0163, 0.1957)
Er (0.7012, 0.2595, 0.0989)
Er (0.9011, 0.2988, 0.7405)
Er (0.2595, 0.0989, 0.7012)
Er (0.7405, 0.9011, 0.2988)
Er (0.2988, 0.7405, 0.9011)
Er (0.0989, 0.7012, 0.2595)
Y (0.0000, 0.0000, 0.0000)



What is the formula in the first record?
Pm12YEr6



The lowest final energy belongs to which entry?
Pm12YEr6